Density functional theory data (SCAN) for TlIn4Pb at its PBEsol-relaxed geometry.

Lattice parameters (Å, degrees): 6.137 6.137 6.137 60.00 60.00 60.00
Fractional positions:
Pb 0.750 0.750 0.750
Tl 0.000 0.000 0.000
In 0.375 0.875 0.375
In 0.875 0.375 0.375
In 0.375 0.375 0.375
In 0.375 0.375 0.875

## Properties
Symmetry = F-43m (216)
Formation energy from the elements = 0.56 eV per formula unit
Density = 8847 kg/m3



Density functional theory data (SCAN) for Tl2InPb at its PBEsol-relaxed geometry.

Lattice parameters (Å, degrees): 3.416 3.416 11.276 80.96 80.96 59.57
Fractional positions:
Pb 0.248 0.248 0.256
Tl 0.752 0.752 0.745
Tl 0.001 0.001 0.998
In 0.500 0.500 0.501

## Properties
Energy relative to the lowest polymorph listed for this composition = 0.02 eV per formula unit
Symmetry = Cm (8)
Formation energy from the elements = 0.08 eV per formula unit
Density = 10875 kg/m3



Which formula does entry 1 have? TlIn4Pb



Which value of density does entry 1 give? 8847 kg/m3



formation energy from the elements of number 1 (TlIn4Pb)? 0.56 eV per formula unit



What is the density in the second record? 10875 kg/m3